Computed, not measured: a relaxed structure of Dy6YS8 at the PBE-GGA level of DFT.

Lattice parameters (Å, degrees): 7.796 7.796 7.796 60.00 60.00 60.00
Fractional positions:
Dy  0.000  0.000  0.500
Dy  0.000  0.500  0.000
Dy  0.000  0.500  0.500
Dy  0.500  0.000  0.000
Dy  0.500  0.000  0.500
Dy  0.500  0.500  0.000
Y  0.000  0.000  0.000
S  0.250  0.250  0.250
S  0.251  0.251  0.749
S  0.251  0.749  0.251
S  0.251  0.749  0.749
S  0.749  0.251  0.251
S  0.749  0.251  0.749
S  0.749  0.749  0.251
S  0.750  0.750  0.750

Properties
space group	Fm-3m (225)
density of states at the Fermi level	6.153	states/eV/f.u.
ρ	6.54	g/cm³
formation energy (no corrections)	-2.053	eV per atom